# 1
The following is a DFT calculation (meta-GGA SCAN) of a crystal of Cu2RhPbN relaxed with PBEsol.

```
data_Cu2RhPbN
_symmetry_space_group_name_H-M 'P 4/m m m'
_symmetry_Int_Tables_number 123
_symmetry_space_group_name_Hall '-P 4 2'
_cell_length_a 3.9905
_cell_length_b 3.9905
_cell_length_c 4.2512
_cell_angle_alpha 90.00
_cell_angle_beta 90.00
_cell_angle_gamma 90.00
loop_
_atom_site_label
_atom_site_type_symbol
_atom_site_fract_x
_atom_site_fract_y
_atom_site_fract_z
Cu1 Cu 0.0000 0.5000 0.0000
Rh1 Rh 0.0000 0.0000 0.5000
Pb1 Pb 0.5000 0.5000 0.5000
N1 N 0.0000 0.0000 0.0000
```

Results
formation energy from raw total energies = 0.32 eV per atom
energy = -147.7 eV/f.u.
crystal system = tetragonal

***

# 2
The following is a DFT calculation (meta-GGA SCAN) of a crystal of CuPbSeN2 relaxed with PBEsol.

```
data_CuPbSeN2
_symmetry_space_group_name_H-M 'P 4/m m m'
_symmetry_Int_Tables_number 123
_symmetry_space_group_name_Hall '-P 4 2'
_cell_length_a 4.2152
_cell_length_b 4.2152
_cell_length_c 5.7055
_cell_angle_alpha 90.00
_cell_angle_beta 90.00
_cell_angle_gamma 90.00
loop_
_atom_site_label
_atom_site_type_symbol
_atom_site_fract_x
_atom_site_fract_y
_atom_site_fract_z
Cu1 Cu 0.0000 0.0000 0.0000
Pb1 Pb 0.5000 0.5000 0.5000
Se1 Se 0.5000 0.5000 0.0000
N1 N 0.0000 0.5000 0.5000
```

Results
formation energy from raw total energies = 1.80 eV per atom
energy = -120.6 eV/f.u.
crystal system = tetragonal

***

# 3
The following is a DFT calculation (meta-GGA SCAN) of a crystal of CuPtN3 relaxed with PBEsol.

```
data_CuPtN3
_symmetry_space_group_name_H-M 'P m -3 m'
_symmetry_Int_Tables_number 221
_symmetry_space_group_name_Hall '-P 4 2 3'
_cell_length_a 3.6942
_cell_length_b 3.6942
_cell_length_c 3.6942
_cell_angle_alpha 90.00
_cell_angle_beta 90.00
_cell_angle_gamma 90.00
loop_
_atom_site_label
_atom_site_type_symbol
_atom_site_fract_x
_atom_site_fract_y
_atom_site_fract_z
Cu1 Cu 0.0000 0.0000 0.0000
Pt1 Pt 0.5000 0.5000 0.5000
N1 N 0.0000 0.0000 0.5000
```

Results
formation energy from raw total energies = 2.25 eV per atom
energy = -102.0 eV/f.u.
crystal system = cubic

***

# 4
The following is a DFT calculation (meta-GGA SCAN) of a crystal of CuTe2PtN relaxed with PBEsol.

```
data_CuTe2PtN
_symmetry_space_group_name_H-M 'P 4/m m m'
_symmetry_Int_Tables_number 123
_symmetry_space_group_name_Hall '-P 4 2'
_cell_length_a 5.4985
_cell_length_b 5.4985
_cell_length_c 3.5857
_cell_angle_alpha 90.00
_cell_angle_beta 90.00
_cell_angle_gamma 90.00
loop_
_atom_site_label
_atom_site_type_symbol
_atom_site_fract_x
_atom_site_fract_y
_atom_site_fract_z
Cu1 Cu 0.0000 0.0000 0.0000
Te1 Te 0.0000 0.5000 0.5000
Pt1 Pt 0.5000 0.5000 0.5000
N1 N 0.5000 0.5000 0.0000
```

Results
formation energy from raw total energies = 0.63 eV per atom
ΔE to the lowest computed polymorph = 0 meV/atom
energy = -166.0 eV/f.u.
crystal system = tetragonal

***

# 5
The following is a DFT calculation (meta-GGA SCAN) of a crystal of CuTe2PtN relaxed with PBEsol.

```
data_CuTe2PtN
_symmetry_space_group_name_H-M 'P 4/m m m'
_symmetry_Int_Tables_number 123
_symmetry_space_group_name_Hall '-P 4 2'
_cell_length_a 5.1688
_cell_length_b 5.1688
_cell_length_c 3.4112
_cell_angle_alpha 90.00
_cell_angle_beta 90.00
_cell_angle_gamma 90.00
loop_
_atom_site_label
_atom_site_type_symbol
_atom_site_fract_x
_atom_site_fract_y
_atom_site_fract_z
Cu1 Cu 0.0000 0.0000 0.0000
Te1 Te 0.0000 0.5000 0.0000
Pt1 Pt 0.5000 0.5000 0.5000
N1 N 0.0000 0.0000 0.5000
```

Results
formation energy from raw total energies = 0.79 eV per atom
ΔE to the lowest computed polymorph = 160 meV/atom
energy = -165.2 eV/f.u.
crystal system = tetragonal

***

# 6
The following is a DFT calculation (meta-GGA SCAN) of a crystal of RbCuN2 relaxed with PBEsol.

```
data_RbCuN2
_symmetry_space_group_name_H-M 'I -4 2 d'
_symmetry_Int_Tables_number 122
_symmetry_space_group_name_Hall 'I -4 2bw'
_cell_length_a 5.8699
_cell_length_b 5.8699
_cell_length_c 7.5188
_cell_angle_alpha 90.00
_cell_angle_beta 90.00
_cell_angle_gamma 90.00
loop_
_atom_site_label
_atom_site_type_symbol
_atom_site_fract_x
_atom_site_fract_y
_atom_site_fract_z
Rb1 Rb 0.0000 0.0000 0.0000
Cu1 Cu 0.0000 0.0000 0.5000
N1 N 0.0949 0.7500 0.6250
```

Results
formation energy from raw total energies = 0.90 eV per atom
energy = -50.9 eV/f.u.
crystal system = tetragonal

***

# 7
The following is a DFT calculation (meta-GGA SCAN) of a crystal of CuReN2 relaxed with PBEsol.

```
data_CuReN2
_symmetry_space_group_name_H-M 'R -3 m'
_symmetry_Int_Tables_number 166
_symmetry_space_group_name_Hall '-R 3 2"'
_cell_length_a 2.8253
_cell_length_b 2.8253
_cell_length_c 18.5975
_cell_angle_alpha 90.00
_cell_angle_beta 90.00
_cell_angle_gamma 120.00
loop_
_atom_site_label
_atom_site_type_symbol
_atom_site_fract_x
_atom_site_fract_y
_atom_site_fract_z
Cu1 Cu 0.0000 0.0000 0.0000
Re1 Re 0.0000 0.0000 0.5000
N1 N 0.0000 0.0000 0.0988
```

Results
formation energy from raw total energies = 0.22 eV per atom
energy = -104.0 eV/f.u.
crystal system = trigonal

***

# 8
The following is a DFT calculation (meta-GGA SCAN) of a crystal of CuRuW2N relaxed with PBEsol.

```
data_CuRuW2N
_symmetry_space_group_name_H-M 'P 4/m m m'
_symmetry_Int_Tables_number 123
_symmetry_space_group_name_Hall '-P 4 2'
_cell_length_a 4.5722
_cell_length_b 4.5722
_cell_length_c 4.4483
_cell_angle_alpha 90.00
_cell_angle_beta 90.00
_cell_angle_gamma 90.00
loop_
_atom_site_label
_atom_site_type_symbol
_atom_site_fract_x
_atom_site_fract_y
_atom_site_fract_z
Cu1 Cu 0.0000 0.0000 0.0000
Ru1 Ru 0.0000 0.0000 0.5000
W1 W 0.0000 0.5000 0.5000
N1 N 0.5000 0.5000 0.0000
```

Results
formation energy from raw total energies = 2.83 eV per atom
energy = -184.5 eV/f.u.
crystal system = tetragonal